(1)
Entry from Alexandria via LeMat-Bulk: a relaxed structure of Ho6C2SeS3 (PBE-GGA).

a b c (Å): 16.7009 3.7714 7.8036
angles (deg): 90.00 103.32 90.00
Space group C2/m (No. 12)
Asymmetric unit:
Ho  0.0186  0.0000  0.2715 (multiplicity 4)
Ho  0.1739  0.5000  0.1253 (multiplicity 4)
Ho  0.1760  0.5000  0.5644 (multiplicity 4)
C  0.1691  0.0000  0.3365 (multiplicity 4)
Se  0.0000  0.5000  0.0000 (multiplicity 2)
S  0.0000  0.5000  0.5000 (multiplicity 2)
S  0.1613  0.0000  0.8354 (multiplicity 4)

The total energy is -6.659 eV/atom. As for the energy relative to the elements, uncorrected: -1511 meV per atom.



(2)
Entry from Alexandria via LeMat-Bulk: a relaxed structure of TmUSe4 (PBE-GGA).

a b c (Å): 6.9148 6.9182 6.8900
angles (deg): 90.00 91.96 90.00
Space group P2_1/c (No. 14)
Asymmetric unit:
Tm  0.0000  0.0000  0.0000 (multiplicity 2)
U  0.5000  0.0000  0.5000 (multiplicity 2)
Se  0.1628  0.1554  0.3510 (multiplicity 4)
Se  0.3403  0.6622  0.3332 (multiplicity 4)

The total energy is -6.156 eV/atom. The energy above the most stable polymorph in this dataset is 0.163 eV per atom. As for the energy relative to the elements, uncorrected: -1206 meV per atom.



(3)
Entry from Alexandria via LeMat-Bulk: a relaxed structure of Tb6Dy16Tm7 (PBE-GGA).

a b c (Å): 15.5900 15.5900 15.5900
angles (deg): 90.00 90.00 90.00
Space group Fm-3m (No. 225)
Asymmetric unit:
Tb  0.0000  0.0000  0.2192 (multiplicity 24)
Dy  0.1224  0.1224  0.3776 (multiplicity 32)
Dy  0.1521  0.1521  0.1521 (multiplicity 32)
Tm  0.0000  0.0000  0.5000 (multiplicity 4)
Tm  0.0000  0.2500  0.2500 (multiplicity 24)

The total energy is -4.341 eV/atom. For the formation energy, the calculation gives 0.235 eV per atom.



(4)
Entry from Alexandria via LeMat-Bulk: a relaxed structure of MnGeRh2 (PBE-GGA).

a b c (Å): 3.0845 3.0845 5.9944
angles (deg): 90.00 90.00 90.00
Space group P4/mmm (No. 123)
Asymmetric unit:
Mn  0.0000  0.0000  0.0000 (multiplicity 1)
Ge  0.0000  0.0000  0.5000 (multiplicity 1)
Rh  0.5000  0.5000  0.2602 (multiplicity 2)

The total energy is -7.472 eV/atom. For the formation energy, the calculation gives -0.350 eV per atom.



(5)
Entry from Alexandria via LeMat-Bulk: a relaxed structure of SrP2F (PBE-GGA).

a b c (Å): 3.5398 3.5398 24.0990
angles (deg): 90.00 90.00 90.00
Space group I-42d (No. 122)
Asymmetric unit:
Sr  0.0000  0.0000  0.0000 (multiplicity 4)
P  0.2027  0.7500  0.6250 (multiplicity 8)
F  0.0000  0.0000  0.5000 (multiplicity 4)

The total energy is -5.093 eV/atom. The energy above the most stable polymorph in this dataset is 0.000 eV per atom. As for the energy relative to the elements, uncorrected: -1500 meV per atom.



(6)
Entry from Alexandria via LeMat-Bulk: a relaxed structure of PmPr2Rh (PBE-GGA).

a b c (Å): 4.7359 4.7359 18.1401
angles (deg): 90.00 90.00 120.00
Space group R-3m (No. 166, hexagonal axes)
Asymmetric unit:
Pm  0.0000  0.0000  0.0000 (multiplicity 3)
Pr  0.0000  0.0000  0.2279 (multiplicity 6)
Rh  0.0000  0.0000  0.5000 (multiplicity 3)

The total energy is -5.453 eV/atom. The energy above the most stable polymorph in this dataset is 0.375 eV per atom. For the formation energy, the calculation gives -0.038 eV per atom.



(7)
Entry from Alexandria via LeMat-Bulk: a relaxed structure of PmPrSn4 (PBE-GGA).

a b c (Å): 8.6043 5.8965 8.5812
angles (deg): 90.00 110.48 90.00
Space group C2/m (No. 12)
Asymmetric unit:
Pm  0.0000  0.0000  0.0000 (multiplicity 2)
Pr  0.0000  0.5000  0.5000 (multiplicity 2)
Sn  0.0985  0.0000  0.3938 (multiplicity 4)
Sn  0.1069  0.5000  0.9024 (multiplicity 4)

The total energy is -4.475 eV/atom. The energy above the most stable polymorph in this dataset is 0.134 eV per atom. For the formation energy, the calculation gives -0.218 eV per atom.



(8)
Entry from Alexandria via LeMat-Bulk: a relaxed structure of BaCr2Cu (PBE-GGA).

a b c (Å): 3.3607 5.4764 10.4073
angles (deg): 90.00 90.00 90.00
Space group Immm (No. 71)
Asymmetric unit:
Ba  0.0000  0.0000  0.0000 (multiplicity 2)
Cr  0.0000  0.5000  0.2000 (multiplicity 4)
Cu  0.0000  0.0000  0.5000 (multiplicity 2)

The total energy is -5.421 eV/atom. The energy above the most stable polymorph in this dataset is 0.325 eV per atom. For the formation energy, the calculation gives 0.895 eV per atom.